Crystalline CaLaFeMoO6 at its relaxed geometry, computed with PBE with a Hubbard U.

As for the calculated volume: 126 Å³/f.u. For the total magnetization, the calculation gives 14.00 μB per cell. Its total energy is -7.35 eV/atom. Its density is 5.62 g/cm³. As for the crystal system: monoclinic.

```
data_CaLaFeMoO6
_chemical_formula_sum 'Ca2 La2 Fe2 Mo2 O12'
_space_group_name_H-M_alt 'P 1 c 1'
_space_group_IT_number 7
_cell_length_a 5.596
_cell_length_b 5.704
_cell_length_c 9.635
_cell_angle_alpha 90.00
_cell_angle_beta 124.85
_cell_angle_gamma 90.00
loop_
_space_group_symop_operation_xyz
'x,y,z'
'x,-y,z+1/2'
loop_
_atom_site_label
_atom_site_fract_x
_atom_site_fract_y
_atom_site_fract_z
Ca1 0.000 0.200 0.000
La1 0.533 0.294 0.504
Fe1 0.767 0.249 0.251
Mo1 0.268 0.249 0.752
O1 0.015 0.458 0.202
O2 0.105 0.220 0.501
O3 0.421 0.275 0.002
O4 0.521 0.039 0.299
O5 0.624 0.462 0.804
O6 0.915 0.035 0.701
```